First-principles (PBE-GGA) data for crystalline AgWSe at its relaxed geometry, as listed in the Alexandria database.

a = 4.3053 Å, b = 4.3053 Å, c = 4.3053 Å
α = 60.00°, β = 60.00°, γ = 60.00°
Last column: nearest neighbours and their distance in Å.
Element x y z (fractional)
Se1 0.2500 0.2500 0.2500  4 Ag 2.64, 4 W 2.64
Ag1 0.5000 0.5000 0.5000  4 Se 2.64
W1 0.0000 0.0000 0.0000  4 Se 2.64

Output
crystal system	cubic
symmetry	No. 216
theoretical density	10.9	Mg/m³
energy relative to the elements, uncorrected	3.0	eV/f.u.